Crystalline TbPr3Th3Se8 at its relaxed geometry, computed with PBE-GGA.

```
TbPr3Th3Se8
1.0
8.3979 0.0000 0.0000
-4.1990 7.2736 -0.0248
0.0000 -4.8254 6.9279
Tb Pr Th Se
1 3 3 8
Cartesian
0.0000 -2.4127 3.4640
0.0000 0.0000 0.0000
-2.0995 3.6368 -0.0124
2.0995 3.6368 -0.0124
4.1990 -2.4127 3.4640
2.0995 1.2241 3.4516
-2.0995 1.2241 3.4516
0.0000 2.4307 1.7359
4.1990 0.0176 5.1672
4.1990 2.4258 1.7495
0.0000 0.0224 5.1536
6.2943 -1.2037 1.7619
-2.0953 3.6520 5.1412
2.1037 -1.2037 1.7619
2.0953 3.6520 5.1412
```

Calculated values
For the total DFT energy (no corrections), the calculation gives -6.35 eV per atom. The value obtained for the formation energy without anion corrections is -26.15 eV/f.u.